[1]
Below is a geometry-optimized Pa4GaRh structure, with properties calculated at the PBE level.

The calculation puts the density of states at the Fermi level at 20.51 states/eV per cell. The magnetic moment comes out at 0.000 μB/f.u. The formation energy comes out at -0.15 eV per atom.

It has space group P222 (No. 16), with a = 6.045 Å, b = 6.430 Å, c = 7.024 Å, α = 90.00°, β = 90.00° and γ = 90.00°. Symmetry generates all atoms from Pa at (0.170, 0.234, 0.177), Pa at (0.246, 0.351, 0.665), Ga at (0.500, 0.000, 0.500), Ga at (0.500, 0.500, 0.000), Rh at (0.000, 0.000, 0.500) and Rh at (0.500, 0.000, 0.000).



[2]
Below is a geometry-optimized Er2AgOsO8 structure, with properties calculated at the PBE level.

For the raw total energy, the calculation gives -7.0718 eV/atom. The calculation puts the density of states at the Fermi level at 2.61 states/eV per cell. The magnetic moment comes out at 0.000 μB/f.u.

It has space group P-1 (No. 2), with a = 4.872 Å, b = 4.877 Å, c = 6.982 Å, α = 87.64°, β = 87.60° and γ = 87.32°. Symmetry generates all atoms from Er at (0.023, 0.023, 0.242), Ag at (0.500, 0.500, 0.000), Os at (0.500, 0.500, 0.500), O at (0.198, 0.803, 0.000), O at (0.221, 0.781, 0.500), O at (0.290, 0.292, 0.671) and O at (0.342, 0.343, 0.285).



[3]
Below is a geometry-optimized LiCr2P structure, with properties calculated at the PBE level.

The calculation puts the density of states at the Fermi level at 16.08 states/eV per cell. The magnetic moment comes out at 0.992 μB/f.u. The formation energy comes out at 0.30 eV per atom.

It has space group R-3m (No. 166, hexagonal axes), with a = 2.6498 Å, b = 2.6498 Å, c = 25.0091 Å, α = 90.00°, β = 90.00° and γ = 120.00°. Symmetry generates all atoms from Li at (0.0000, 0.0000, 0.0000), Cr at (0.0000, 0.0000, 0.2397) and P at (0.0000, 0.0000, 0.5000).



[4]
Below is a geometry-optimized Gd2CuO4 structure, with properties calculated at the PBE level.

For the raw total energy, the calculation gives -10.0728 eV/atom. The calculation puts the density of states at the Fermi level at 1.71 states/eV per cell. The magnetic moment comes out at 13.997 μB/f.u.

It has space group P2_1/c (No. 14), with a = 6.615 Å, b = 5.539 Å, c = 5.537 Å, α = 90.00°, β = 114.08° and γ = 90.00°. Symmetry generates all atoms from Gd at (0.196, 0.002, 0.346), Cu at (0.500, 0.000, 0.000), O at (0.002, 0.750, 0.493) and O at (0.496, 0.215, 0.712).



[5]
Below is a geometry-optimized Mg3Cd structure, with properties calculated at the PBE level.

The calculation puts the density of states at the Fermi level at 1.67 states/eV per cell. The magnetic moment comes out at 0.000 μB/f.u. The formation energy comes out at 0.41 eV per atom.

It has space group Pm-3m (No. 221), with a = 5.366 Å, b = 5.366 Å, c = 5.366 Å, α = 90.00°, β = 90.00° and γ = 90.00°. Symmetry generates all atoms from Mg at (0.000, 0.000, 0.500) and Cd at (0.000, 0.000, 0.000).



[6]
Below is a geometry-optimized BaScOs2 structure, with properties calculated at the PBE level.

The calculation puts the density of states at the Fermi level at 5.22 states/eV per cell. The magnetic moment comes out at 0.442 μB/f.u. The formation energy comes out at 0.49 eV per atom.

It has space group Pmmm (No. 47), with a = 3.085 Å, b = 4.192 Å, c = 7.136 Å, α = 90.00°, β = 90.00° and γ = 90.00°. Symmetry generates all atoms from Ba at (0.000, 0.000, 0.000), Sc at (0.000, 0.000, 0.500) and Os at (0.500, 0.500, 0.334).



[7]
Below is a geometry-optimized PmHo5Au4 structure, with properties calculated at the PBE level.

The calculation puts the density of states at the Fermi level at 7.31 states/eV per cell. The magnetic moment comes out at 0.000 μB/f.u. The formation energy comes out at -0.69 eV per atom.

It has space group P4/mmm (No. 123), with a = 3.563 Å, b = 3.563 Å, c = 19.658 Å, α = 90.00°, β = 90.00° and γ = 90.00°. Symmetry generates all atoms from Pm at (0.000, 0.000, 0.000), Ho at (0.500, 0.500, 0.132), Ho at (0.500, 0.500, 0.315), Ho at (0.500, 0.500, 0.500), Au at (0.000, 0.000, 0.221) and Au at (0.000, 0.000, 0.407).



[8]
Below is a geometry-optimized TiCrI6 structure, with properties calculated at the PBE level.

For the raw total energy, the calculation gives -3.8598 eV/atom. The calculation puts the density of states at the Fermi level at 3.46 states/eV per cell. The magnetic moment comes out at 4.001 μB/f.u.

It has space group C2/m (No. 12), with a = 6.980 Å, b = 13.648 Å, c = 6.987 Å, α = 90.00°, β = 110.32° and γ = 90.00°. Symmetry generates all atoms from Ti at (0.000, 0.000, 0.000), Cr at (0.000, 0.500, 0.500), I at (0.238, 0.000, 0.761) and I at (0.244, 0.359, 0.745).



[9]
Below is a geometry-optimized BaTaAs structure, with properties calculated at the PBE level.

The calculation puts the density of states at the Fermi level at 2.89 states/eV per cell. The magnetic moment comes out at 1.739 μB/f.u. The formation energy comes out at 0.07 eV per atom.

It has space group P-6m2 (No. 187), with a = 4.4654 Å, b = 4.4654 Å, c = 5.2210 Å, α = 90.00°, β = 90.00° and γ = 120.00°. Symmetry generates all atoms from Ba at (0.0000, 0.0000, 0.0000), Ta at (0.6667, 0.3333, 0.5000) and As at (0.3333, 0.6667, 0.5000).



[10]
Below is a geometry-optimized PmNd2Te4 structure, with properties calculated at the PBE level.

For the raw total energy, the calculation gives -5.2427 eV/atom. The calculation puts the density of states at the Fermi level at 11.17 states/eV per cell. The magnetic moment comes out at 0.000 μB/f.u.

It has space group Cmcm (No. 63), with a = 4.352 Å, b = 14.792 Å, c = 15.316 Å, α = 90.00°, β = 90.00° and γ = 90.00°. Symmetry generates all atoms from Pm at (0.000, 0.127, 0.250), Nd at (0.000, 0.368, 0.070), Te at (0.000, 0.000, 0.000), Te at (0.000, 0.280, 0.624) and Te at (0.000, 0.471, 0.250).



[11]
Below is a geometry-optimized BaCrH2 structure, with properties calculated at the PBE level.

For the raw total energy, the calculation gives -4.1253 eV/atom. The calculation puts the density of states at the Fermi level at 5.87 states/eV per cell. The magnetic moment comes out at 5.349 μB/f.u.

It has space group Fm-3m (No. 225), with a = 6.623 Å, b = 6.623 Å, c = 6.623 Å, α = 90.00°, β = 90.00° and γ = 90.00°. Symmetry generates all atoms from Ba at (0.000, 0.000, 0.000), Cr at (0.000, 0.000, 0.500) and H at (0.250, 0.250, 0.250).



[12]
Below is a geometry-optimized Ac3Te3S structure, with properties calculated at the PBE level.

For the raw total energy, the calculation gives -5.4017 eV/atom. The calculation puts the density of states at the Fermi level at 9.92 states/eV per cell. The magnetic moment comes out at 0.543 μB/f.u.

It has space group Pnma (No. 62), with a = 13.868 Å, b = 4.744 Å, c = 15.268 Å, α = 90.00°, β = 90.00° and γ = 90.00°. Symmetry generates all atoms from Ac at (0.042, 0.250, 0.141), Ac at (0.111, 0.250, 0.606), Ac at (0.248, 0.750, 0.369), Te at (0.065, 0.250, 0.387), Te at (0.152, 0.750, 0.004), Te at (0.235, 0.750, 0.711) and S at (0.053, 0.250, 0.797).



Q: Which formula does entry 10 have?
A: PmNd2Te4